Compound: Fe10O11F9
Source: the Alexandria database
Functional: PBE with a Hubbard U
Structure: optimized geometry

```
30
Lattice="3.186 -3.374 0.000 3.186 3.374 0.000 -0.017 0.000 15.118" Properties=species:S:1:pos:R:3 pbc="T T T"
Fe 0.000 0.000 0.000
Fe 3.174 3.218 6.018
Fe 3.181 3.218 9.100
Fe 3.020 -0.251 1.533
Fe 3.177 -0.152 7.559
Fe 3.170 -0.169 4.417
Fe 3.184 -0.169 10.701
Fe 3.335 -0.251 13.585
Fe 3.178 -3.364 3.098
Fe 3.177 -3.364 12.020
O 1.122 -0.105 1.556
O 1.262 -0.092 4.532
O 1.259 -0.119 10.596
O 1.255 -0.161 7.558
O 3.150 -1.415 3.016
O 3.204 -1.415 12.102
O 3.186 -1.472 0.000
O 5.093 -0.092 10.586
O 5.096 -0.119 4.522
O 5.100 -0.161 7.560
O 5.233 -0.105 13.562
F 1.305 -0.100 13.566
F 3.160 1.248 3.006
F 3.195 1.248 12.113
F 3.186 1.149 0.000
F 3.171 1.128 9.137
F 3.184 1.128 5.981
F 3.177 -1.442 5.992
F 3.178 -1.442 9.126
F 5.050 -0.100 1.552
```

## Properties
As for the total magnetization: 0.141 μB/atom. The total energy comes out at -171.5 eV for the cell shown. The energy above the lowest structure with this stoichiometry is 0.224 eV/atom.